Hf2ReTcS after structural relaxation, computed with GGA-PBE.

Calculated values
raw formation energy: 0.282 eV/atom

Lattice parameters (Å, degrees): 4.728 4.728 4.238 90.00 90.00 90.00
Space group P4/mmm (No. 123)
Symmetry-distinct sites (fractional):
Hf1 0.000 0.500 0.000 (multiplicity 2)
Re1 0.000 0.000 0.500 (multiplicity 1)
Tc1 0.500 0.500 0.500 (multiplicity 1)
S1 0.000 0.000 0.000 (multiplicity 1)